# LiH2IrO4 (PBE-GGA, relaxed)
# ρ = 4.94 g cm⁻³
# final energy = -43.38 eV/cell
# SG = I222
# V = 11.15 Å³ per atom
data_LiH2IrO4
_chemical_formula_sum 'Li1 H2 Ir1 O4'
_space_group_name_H-M_alt 'P 1'
_space_group_IT_number 1
_space_group_name_Hall 'P 1'
_cell_length_a 5.335
_cell_length_b 5.335
_cell_length_c 5.335
_cell_angle_alpha 130.68
_cell_angle_beta 127.28
_cell_angle_gamma 75.08
loop_
_atom_site_label
_atom_site_type_symbol
_atom_site_fract_x
_atom_site_fract_y
_atom_site_fract_z
Li1 Li 0.000 0.000 0.000
H1 H 0.127 0.627 0.500
H2 H 0.873 0.373 0.500
Ir1 Ir 0.500 0.500 0.000
O1 O 0.084 0.216 0.544
O2 O 0.328 0.784 0.868
O3 O 0.672 0.540 0.456
O4 O 0.916 0.460 0.132